(1)
The following is a DFT calculation (PBE-GGA) of crystalline BeTlAsOs at its relaxed geometry.

Lattice parameters (Å, degrees): 4.5299 4.5299 4.5299 60.00 60.00 60.00
Last column: nearest neighbours and their distance in Å.
Element x y z (fractional)
As  0.2500  0.2500  0.2500  4 Tl 2.77, 4 Os 2.77
Be  0.7500  0.7500  0.7500  4 Os 2.77, 4 Tl 2.77
Tl  0.5000  0.5000  0.5000  4 As 2.77, 4 Be 2.77
Os  0.0000  0.0000  0.0000  4 Be 2.77, 4 As 2.77

Volume in Å³ per cell: 65.7
E above lowest polymorph in eV/atom: 0.021
Space group: F-43m, No. 216
Size of the total moment in μB/f.u.: 0.00

=====

(2)
The following is a DFT calculation (PBE-GGA) of crystalline TmSiNiGe at its relaxed geometry.

Lattice parameters (Å, degrees): 8.6379 8.6379 3.9902 90.00 90.00 153.64
Last column: nearest neighbours and their distance in Å.
Element x y z (fractional)
Ge  0.5430  0.4570  0.2500  1 Ni 2.30, 2 Ge 2.47
Ge  0.4570  0.5430  0.7500  1 Ni 2.30, 2 Ge 2.47
Tm  0.1093  0.8907  0.7500  6 Ge 3.02-3.23, 4 Ni 3.05, 4 Si 3.07-3.11
Tm  0.8907  0.1093  0.2500  6 Ge 3.02-3.23, 4 Ni 3.05, 4 Si 3.07-3.11
Si  0.2510  0.7490  0.2500  4 Ni 2.30-2.31
Ni  0.6800  0.3200  0.2500  4 Si 2.30-2.31, 1 Ge 2.30
Si  0.7490  0.2510  0.7500  4 Ni 2.30-2.31
Ni  0.3200  0.6800  0.7500  4 Si 2.30-2.31, 1 Ge 2.30

Volume in Å³ per cell: 132.2
Space group: Cmcm, No. 63
Total energy in eV/atom: -5.785
Size of the total moment in μB/f.u.: 0.00

=====

(3)
The following is a DFT calculation (PBE-GGA) of crystalline GdMgZn at its relaxed geometry.

Lattice parameters (Å, degrees): 6.7310 6.2491 7.8416 82.26 90.00 122.59
Last column: nearest neighbours and their distance in Å.
Element x y z (fractional)
Mg  0.0943  0.1885  0.3114  4 Zn 2.91-2.93, 4 Mg 3.11-3.14
Gd  0.2336  0.4671  0.6667  6 Zn 3.04-3.22, 5 Mg 3.29-3.37
Zn  0.2314  0.9855  0.6115  3 Mg 2.91-3.00, 5 Gd 3.00-3.22, 1 Zn 3.21
Mg  0.1088  0.6996  0.3106  2 Zn 3.00-3.06, 4 Mg 3.11-3.25, 4 Gd 3.11-3.29
Gd  0.4762  0.9524  0.9296  6 Zn 3.03-3.24, 1 Mg 3.32, 2 Gd 3.39
Gd  0.6047  0.2093  0.3149  4 Zn 3.00-3.08, 5 Mg 3.11-3.30
Zn  0.7541  0.9855  0.6115  3 Mg 2.91-3.00, 5 Gd 3.00-3.22, 1 Zn 3.21
Zn  0.4315  0.4041  0.0053  3 Mg 2.93-3.26, 6 Gd 3.04-3.24, 1 Zn 3.09
Mg  0.5908  0.6996  0.3106  2 Zn 3.00-3.06, 4 Mg 3.11-3.25, 4 Gd 3.11-3.29
Gd  0.9400  0.8800  0.9591  6 Zn 3.07-3.23, 4 Mg 3.27-3.42, 2 Gd 3.39
Zn  0.9727  0.4041  0.0053  3 Mg 2.93-3.26, 6 Gd 3.04-3.24, 1 Zn 3.09
Mg  0.7518  0.5036  0.6563  6 Zn 2.98-3.31, 2 Mg 3.25, 3 Gd 3.30-3.33

Volume in Å³ per cell: 274.4
Space group: Cm, No. 8
Total energy in eV/atom: -2.683
Size of the total moment in μB/f.u.: 0.02

=====

(4)
The following is a DFT calculation (PBE-GGA) of crystalline Ba4Ag3Se at its relaxed geometry.

Lattice parameters (Å, degrees): 6.6081 5.0346 8.5868 90.00 90.65 90.00
Last column: nearest neighbours and their distance in Å.
Element x y z (fractional)
Ag  0.6124  0.5000  0.5335  2 Ag 3.00
Ba  0.3550  0.5000  0.1779  2 Se 3.30-3.66, 5 Ag 3.38-3.54
Ag  0.1730  0.0000  0.9545  7 Ba 3.38-3.65, 2 Se 3.52
Ba  0.8694  0.0000  0.3065  2 Se 3.35, 5 Ag 3.54-3.65
Ba  0.6572  0.0000  0.8198  2 Se 3.38, 5 Ag 3.41-3.59
Ag  0.3792  0.0000  0.4672  2 Ag 3.00
Ba  0.1300  0.5000  0.6902  6 Ag 3.40-3.66, 1 Se 3.71
Se  0.8240  0.5000  0.0503  6 Ba 3.30-3.66, 2 Ag 3.52

Volume in Å³ per cell: 285.7
Space group: Pm, No. 6
Total energy in eV/atom: -3.067

=====

(5)
The following is a DFT calculation (PBE-GGA) of crystalline Be2CuSi at its relaxed geometry.

Lattice parameters (Å, degrees): 3.9286 3.9286 3.9286 60.00 60.00 60.00
Last column: nearest neighbours and their distance in Å.
Element x y z (fractional)
Si  0.2500  0.2500  0.2500  4 Be 2.41, 4 Cu 2.41
Be  0.5000  0.5000  0.5000  4 Si 2.41, 4 Be 2.41
Cu  0.0000  0.0000  0.0000  4 Be 2.41, 4 Si 2.41
Be  0.7500  0.7500  0.7500  4 Cu 2.41, 4 Be 2.41

Volume in Å³ per cell: 42.9
Space group: F-43m, No. 216
Total energy in eV/atom: -3.803

=====

(6)
The following is a DFT calculation (PBE-GGA) of crystalline TmBeW at its relaxed geometry.

Lattice parameters (Å, degrees): 4.2516 4.2516 4.2516 60.00 60.00 60.00
Last column: nearest neighbours and their distance in Å.
Element x y z (fractional)
Be  0.0000  0.0000  0.0000  4 W 2.60, 4 Tm 2.60
Tm  0.2500  0.2500  0.2500  4 Be 2.60
W  0.7500  0.7500  0.7500  4 Be 2.60

Volume in Å³ per cell: 54.3
E above lowest polymorph in eV/atom: 0.000
Space group: F-43m, No. 216
Size of the total moment in μB/f.u.: 0.01

=====

(7)
The following is a DFT calculation (PBE-GGA) of crystalline NbZnReNi at its relaxed geometry.

Lattice parameters (Å, degrees): 4.3690 4.3690 4.3690 60.00 60.00 60.00
Last column: nearest neighbours and their distance in Å.
Element x y z (fractional)
Ni  0.7500  0.7500  0.7500  4 Re 2.68, 4 Zn 2.68
Zn  0.0000  0.0000  0.0000  4 Ni 2.68, 4 Nb 2.68
Nb  0.2500  0.2500  0.2500  4 Re 2.68, 4 Zn 2.68
Re  0.5000  0.5000  0.5000  4 Ni 2.68, 4 Nb 2.68

Volume in Å³ per cell: 59.0
Space group: F-43m, No. 216
E_form in eV per formula unit: 0.9
Size of the total moment in μB/f.u.: 0.17

=====

(8)
The following is a DFT calculation (PBE-GGA) of crystalline BPPdO at its relaxed geometry.

Lattice parameters (Å, degrees): 3.8989 3.8989 7.0105 90.00 90.00 90.00
Last column: nearest neighbours and their distance in Å.
Element x y z (fractional)
B  0.2500  0.7500  0.5000  4 P 2.09
B  0.7500  0.2500  0.5000  4 P 2.09
Pd  0.2500  0.2500  0.0857  4 O 2.04
Pd  0.7500  0.7500  0.9143  4 O 2.04
O  0.7500  0.2500  0.0000  4 Pd 2.04
O  0.2500  0.7500  0.0000  4 Pd 2.04
P  0.2500  0.2500  0.6089  4 B 2.09
P  0.7500  0.7500  0.3911  4 B 2.09

Volume in Å³ per cell: 106.6
E above lowest polymorph in eV/atom: 1.321
Space group: P4/nmm, No. 129

=====

(9)
The following is a DFT calculation (PBE-GGA) of crystalline Sr2Si2AgGe at its relaxed geometry.

Lattice parameters (Å, degrees): 8.7520 8.5727 6.3271 70.10 67.08 42.83
Last column: nearest neighbours and their distance in Å.
Element x y z (fractional)
Sr  0.7539  0.2461  0.7539  2 Ge 3.31, 8 Si 3.33-3.42, 2 Ag 3.38
Si  0.1673  0.6739  0.8327  1 Si 2.36, 1 Ge 2.45, 1 Ag 2.50
Ge  0.1616  0.1616  0.8384  2 Si 2.45, 1 Ag 2.61
Ag  0.6628  0.6628  0.3372  2 Si 2.50, 1 Ge 2.61
Ge  0.8384  0.8384  0.1616  2 Si 2.45, 1 Ag 2.61
Ag  0.3372  0.3372  0.6628  2 Si 2.50, 1 Ge 2.61
Si  0.6739  0.1673  0.3261  1 Si 2.36, 1 Ge 2.45, 1 Ag 2.50
Si  0.8327  0.3261  0.1673  1 Si 2.36, 1 Ge 2.45, 1 Ag 2.50
Sr  0.7500  0.7500  0.7500  4 Ag 3.42, 4 Ge 3.42, 4 Si 3.43
Sr  0.2461  0.7539  0.2461  2 Ge 3.31, 8 Si 3.33-3.42, 2 Ag 3.38
Sr  0.2500  0.2500  0.2500  4 Ag 3.42, 4 Ge 3.42, 4 Si 3.43
Si  0.3261  0.8327  0.6739  1 Si 2.36, 1 Ge 2.45, 1 Ag 2.50

Volume in Å³ per cell: 296.1
Space group: Fmmm, No. 69
Total energy in eV/atom: -4.097

=====

(10)
The following is a DFT calculation (PBE-GGA) of crystalline HfMgNbTc at its relaxed geometry.

Lattice parameters (Å, degrees): 4.6651 4.6651 4.6651 60.00 60.00 60.00
Last column: nearest neighbours and their distance in Å.
Element x y z (fractional)
Nb  0.5000  0.5000  0.5000  4 Mg 2.86, 4 Tc 2.86
Mg  0.7500  0.7500  0.7500  4 Nb 2.86, 4 Hf 2.86
Hf  0.0000  0.0000  0.0000  4 Tc 2.86, 4 Mg 2.86
Tc  0.2500  0.2500  0.2500  4 Hf 2.86, 4 Nb 2.86

Volume in Å³ per cell: 71.8
E above lowest polymorph in eV/atom: 0.000
Space group: F-43m, No. 216
Size of the total moment in μB/f.u.: 0.00

=====

(11)
The following is a DFT calculation (PBE-GGA) of crystalline NiGeMoPt at its relaxed geometry.

Lattice parameters (Å, degrees): 4.3422 4.3422 4.3422 60.00 60.00 60.00
Last column: nearest neighbours and their distance in Å.
Element x y z (fractional)
Ni  0.7500  0.7500  0.7500  4 Ge 2.66, 4 Pt 2.66
Pt  0.5000  0.5000  0.5000  4 Mo 2.66, 4 Ni 2.66
Ge  0.0000  0.0000  0.0000  4 Ni 2.66, 4 Mo 2.66
Mo  0.2500  0.2500  0.2500  4 Pt 2.66, 4 Ge 2.66

Volume in Å³ per cell: 57.9
E above lowest polymorph in eV/atom: 0.000
Space group: F-43m, No. 216
Size of the total moment in μB/f.u.: 0.33

=====

(12)
The following is a DFT calculation (PBE-GGA) of crystalline CsLa2Cu3Se4S at its relaxed geometry.

Lattice parameters (Å, degrees): 7.7210 7.7210 17.9650 90.00 90.00 148.30
Last column: nearest neighbours and their distance in Å.
Element x y z (fractional)
Se  0.4456  0.5544  0.3884  2 Cu 2.54-2.55
La  0.1932  0.8068  0.9063  1 S 2.85, 5 Se 2.97-3.05
Cu  0.4163  0.5837  0.9719  4 Se 2.52-2.55, 1 Cu 2.68
Se  0.1614  0.8386  0.4300  2 Cu 2.52
La  0.8068  0.1932  0.4063  1 S 2.85, 5 Se 2.97-3.05
Cs  0.9352  0.0648  0.7500  6 Se 3.54-3.71, 2 S 3.76
S  0.7743  0.2257  0.2500  2 Cu 2.30
Se  0.8386  0.1614  0.9300  2 Cu 2.52
Cu  0.3353  0.6647  0.2500  2 S 2.30
Cu  0.4163  0.5837  0.5281  4 Se 2.52-2.55, 1 Cu 2.68
Se  0.4456  0.5544  0.1116  2 Cu 2.54-2.55
Cu  0.6647  0.3353  0.7500  2 S 2.30
S  0.2257  0.7743  0.7500  2 Cu 2.30
Se  0.1614  0.8386  0.0700  2 Cu 2.52
Cu  0.5837  0.4163  0.0281  4 Se 2.52-2.55, 1 Cu 2.68
Cu  0.5837  0.4163  0.4719  4 Se 2.52-2.55, 1 Cu 2.68
Se  0.5544  0.4456  0.8884  2 Cu 2.54-2.55
La  0.8068  0.1932  0.0937  1 S 2.85, 5 Se 2.97-3.05
La  0.1932  0.8068  0.5937  1 S 2.85, 5 Se 2.97-3.05
Se  0.5544  0.4456  0.6116  2 Cu 2.54-2.55
Cs  0.0648  0.9352  0.2500  6 Se 3.54-3.71, 2 S 3.76
Se  0.8386  0.1614  0.5700  2 Cu 2.52

Volume in Å³ per cell: 562.8
Space group: Cmcm, No. 63
Total energy in eV/atom: -4.822
Size of the total moment in μB/f.u.: 0.00

=====

(13)
The following is a DFT calculation (PBE-GGA) of crystalline Hf2ZrZn3Ni2Au at its relaxed geometry.

Lattice parameters (Å, degrees): 3.4318 7.0617 7.0617 120.10 90.00 90.00
Last column: nearest neighbours and their distance in Å.
Element x y z (fractional)
Zn  0.5000  0.0004  0.7203  2 Ni 2.55-2.57, 2 Au 2.62, 2 Hf 2.79
Ni  0.5000  0.3322  0.6670  3 Zn 2.55-2.57, 4 Hf 2.74, 2 Zr 2.75
Zn  0.5000  0.2791  0.2791  2 Ni 2.57, 2 Au 2.61, 2 Zr 2.79
Zn  0.5000  0.7203  0.0004  2 Ni 2.55-2.57, 2 Au 2.62, 2 Hf 2.79
Au  0.0000  0.0010  0.0010  6 Zn 2.61-2.62, 2 Hf 2.88, 1 Zr 2.89
Ni  0.5000  0.6670  0.3322  3 Zn 2.55-2.57, 4 Hf 2.74, 2 Zr 2.75
Hf  0.0000  0.4083  0.0000  4 Ni 2.74, 2 Zn 2.79, 1 Au 2.88
Zr  0.0000  0.5917  0.5917  4 Ni 2.75, 6 Zn 2.79-3.08, 1 Au 2.89
Hf  0.0000  0.0000  0.4083  4 Ni 2.74, 2 Zn 2.79, 1 Au 2.88

Volume in Å³ per cell: 148.1
Space group: Amm2, No. 38
E_form in eV per formula unit: -3.9
Size of the total moment in μB/f.u.: 0.01

=====

(14)
The following is a DFT calculation (PBE-GGA) of crystalline Lu3BiCN at its relaxed geometry.

Lattice parameters (Å, degrees): 3.5034 3.5034 20.8518 90.00 90.00 120.00
Last column: nearest neighbours and their distance in Å.
Element x y z (fractional)
C  0.6667  0.3333  0.9266  6 Lu 2.31-2.54
N  0.6667  0.3333  0.5673  6 Lu 2.34-2.46
Bi  0.0000  0.0000  0.7440  6 Lu 3.22-3.37, 6 Bi 3.50
Lu  0.6667  0.3333  0.3763  3 N 2.34
Lu  0.0000  0.0000  0.0000  6 C 2.54
N  0.3333  0.6667  0.4327  6 Lu 2.34-2.46
Lu  0.3333  0.6667  0.6237  3 N 2.34
Lu  0.0000  0.0000  0.5000  6 N 2.46
C  0.3333  0.6667  0.0734  6 Lu 2.31-2.54
Lu  0.6667  0.3333  0.1267  3 C 2.31
Bi  0.0000  0.0000  0.2560  6 Lu 3.22-3.37, 6 Bi 3.50
Lu  0.3333  0.6667  0.8733  3 C 2.31

Volume in Å³ per cell: 221.6
Space group: P-3m1, No. 164
Total energy in eV/atom: -6.821
Size of the total moment in μB/f.u.: 0.00

=====

(15)
The following is a DFT calculation (PBE-GGA) of crystalline PrCuPbSeS2 at its relaxed geometry.

Lattice parameters (Å, degrees): 6.9826 6.9826 10.9453 90.00 90.00 146.37
Last column: nearest neighbours and their distance in Å.
Element x y z (fractional)
S  0.6351  0.3649  0.5805  1 Cu 2.33
S  0.3649  0.6351  0.0805  1 Cu 2.33
Cu  0.5297  0.4703  0.7500  2 S 2.33, 2 Se 2.56
S  0.6351  0.3649  0.9195  1 Cu 2.33
Pr  0.0000  0.0000  0.5000  4 S 2.85, 2 Se 2.98
Pb  0.7684  0.2316  0.2500  4 S 3.03, 2 Se 3.15, 2 Cu 3.37
Pr  0.0000  0.0000  0.0000  4 S 2.85, 2 Se 2.98
Se  0.9125  0.0875  0.7500  2 Cu 2.56
Pb  0.2316  0.7684  0.7500  4 S 3.03, 2 Se 3.15, 2 Cu 3.37
S  0.3649  0.6351  0.4195  1 Cu 2.33
Se  0.0875  0.9125  0.2500  2 Cu 2.56
Cu  0.4703  0.5297  0.2500  2 S 2.33, 2 Se 2.56

Volume in Å³ per cell: 295.5
Space group: Cmcm, No. 63
Total energy in eV/atom: -5.035
Size of the total moment in μB/f.u.: 0.00

=====

(16)
The following is a DFT calculation (PBE-GGA) of crystalline NaU at its relaxed geometry.

Lattice parameters (Å, degrees): 4.5180 4.5180 4.5180 60.00 60.00 60.00
Last column: nearest neighbours and their distance in Å.
Element x y z (fractional)
U  0.5000  0.5000  0.5000  6 Na 3.19
Na  0.0000  0.0000  0.0000  6 U 3.19

Volume in Å³ per cell: 65.2
E above lowest polymorph in eV/atom: 1.358
Space group: Fm-3m, No. 225
Size of the total moment in μB/f.u.: 4.83

=====

(17)
The following is a DFT calculation (PBE-GGA) of crystalline KIrW at its relaxed geometry.

Lattice parameters (Å, degrees): 4.5914 4.5914 4.5914 60.00 60.00 60.00
Last column: nearest neighbours and their distance in Å.
Element x y z (fractional)
W  0.7500  0.7500  0.7500  4 K 2.81
K  0.0000  0.0000  0.0000  4 Ir 2.81, 4 W 2.81
Ir  0.2500  0.2500  0.2500  4 K 2.81

Volume in Å³ per cell: 68.4
E above lowest polymorph in eV/atom: 1.466
Space group: F-43m, No. 216
Size of the total moment in μB/f.u.: 2.96

=====

(18)
The following is a DFT calculation (PBE-GGA) of crystalline Nd2GdMg3Pt2Au at its relaxed geometry.

Lattice parameters (Å, degrees): 4.1018 7.5673 7.5673 119.85 90.00 90.00
Last column: nearest neighbours and their distance in Å.
Element x y z (fractional)
Pt  0.5000  0.6651  0.3392  3 Mg 2.87-2.97, 2 Gd 3.02, 4 Nd 3.08-3.09
Pt  0.5000  0.3392  0.6651  3 Mg 2.87-2.97, 2 Gd 3.02, 4 Nd 3.08-3.09
Mg  0.5000  0.2493  0.2493  2 Au 2.81, 2 Pt 2.87
Nd  0.0000  0.4172  0.9997  4 Pt 3.08-3.09, 1 Au 3.17, 6 Mg 3.27-3.45
Au  0.0000  0.9960  0.9960  6 Mg 2.76-2.81
Nd  0.0000  0.9997  0.4172  4 Pt 3.08-3.09, 1 Au 3.17, 6 Mg 3.27-3.45
Mg  0.5000  0.7519  0.9975  2 Au 2.76, 2 Pt 2.87-2.97
Gd  0.0000  0.5842  0.5842  4 Pt 3.02, 1 Au 3.12, 2 Mg 3.26
Mg  0.5000  0.9975  0.7519  2 Au 2.76, 2 Pt 2.87-2.97

Volume in Å³ per cell: 203.7
Space group: Amm2, No. 38
Total energy in eV/atom: -4.633
Size of the total moment in μB/f.u.: 0.01

=====

(19)
The following is a DFT calculation (PBE-GGA) of crystalline LuAg2 at its relaxed geometry.

Lattice parameters (Å, degrees): 3.6501 3.6501 5.2312 110.42 110.42 90.00
Last column: nearest neighbours and their distance in Å.
Element x y z (fractional)
Ag  0.6674  0.6674  0.3347  5 Ag 2.99-3.05, 5 Lu 3.00-3.03
Lu  0.0000  0.0000  0.0000  10 Ag 3.00-3.03
Ag  0.3326  0.3326  0.6653  5 Ag 2.99-3.05, 5 Lu 3.00-3.03

Volume in Å³ per cell: 60.6
Space group: I4/mmm, No. 139
E_form in eV per formula unit: -1.0
Size of the total moment in μB/f.u.: 0.00

=====

(20)
The following is a DFT calculation (PBE-GGA) of crystalline FeBWAu at its relaxed geometry.

Lattice parameters (Å, degrees): 4.2180 4.2180 4.2180 60.00 60.00 60.00
Last column: nearest neighbours and their distance in Å.
Element x y z (fractional)
Au  0.5000  0.5000  0.5000  4 Fe 2.58, 4 W 2.58
W  0.2500  0.2500  0.2500  4 B 2.58, 4 Au 2.58
B  0.0000  0.0000  0.0000  4 W 2.58, 4 Fe 2.58
Fe  0.7500  0.7500  0.7500  4 Au 2.58, 4 B 2.58

Volume in Å³ per cell: 53.1
E above lowest polymorph in eV/atom: 0.115
Space group: F-43m, No. 216
Size of the total moment in μB/f.u.: 1.37